Entry 1:
Compound: Li2BeIn
Source: the Alexandria database
Functional: PBE
Structure: optimized geometry

a = 4.398 Å, b = 4.398 Å, c = 4.398 Å
α = 60.00°, β = 60.00°, γ = 60.00°
Element x y z (fractional)
Li  0.750  0.750  0.750
Li  0.250  0.250  0.250
In  0.500  0.500  0.500
Be  0.000  0.000  0.000

Values from the calculation:
Spin magnetization, μB per atom: 0.00
Energy relative to the lowest polymorph listed for this composition, eV per formula unit: 0.578
VASP energy, eV/atom: -2.497
Mass density, g/cm3: 3.80
Formation energy from the elements, eV per atom: 0.076

Entry 2:
Compound: LiBe2In2
Source: the Alexandria database
Functional: PBE
Structure: optimized geometry

a = 4.293 Å, b = 4.293 Å, c = 5.945 Å
α = 68.84°, β = 68.84°, γ = 90.00°
Element x y z (fractional)
Be  0.398  0.398  0.205
Be  0.602  0.602  0.795
In  0.250  0.750  0.500
In  0.750  0.250  0.500
Li  0.000  0.000  0.000

Values from the calculation:
Spin magnetization, μB per atom: 0.00
Energy relative to the lowest polymorph listed for this composition, eV per formula unit: 0.410
VASP energy, eV/atom: -2.621
Mass density, g/cm3: 4.49
Formation energy from the elements, eV per atom: 0.347

Entry 3:
Compound: Li2BeIn
Source: the Alexandria database
Functional: PBE
Structure: optimized geometry

a = 3.202 Å, b = 3.202 Å, c = 6.239 Å
α = 90.00°, β = 90.00°, γ = 90.00°
Element x y z (fractional)
Li  0.000  0.000  0.016
Li  0.500  0.500  0.274
In  0.500  0.500  0.730
Be  0.000  0.000  0.480

Values from the calculation:
Spin magnetization, μB per atom: 0.00
Energy relative to the lowest polymorph listed for this composition, eV per formula unit: 0.703
VASP energy, eV/atom: -2.465
Mass density, g/cm3: 3.57
Formation energy from the elements, eV per atom: 0.108